*A*
# TbPr7Tm12

A geometry-optimized TbPr7Tm12 structure (PBE-GGA, the Alexandria database).

Cell and atoms, written as extended XYZ:
```
20
Lattice="-3.2871 3.4086 7.3758 7.5927 -0.4889 4.3517 2.3854 8.1977 -1.9832" Properties=species:S:1:pos:R:3 pbc="T T T"
Tb 0.0000 0.0000 0.0000
Pr 3.9979 10.1253 7.0035
Pr -0.3316 2.6132 2.9682
Pr 1.8889 3.4569 0.4810
Pr 3.3455 5.5587 4.8721
Pr 4.8022 7.6605 9.2633
Pr 7.0226 8.5042 6.7760
Pr 2.6932 0.9921 2.7408
Tm 0.8521 8.7543 5.9801
Tm -0.0354 3.5871 6.4014
Tm 0.1885 6.1127 4.1569
Tm 1.8906 5.8384 7.8031
Tm 1.9736 6.9717 1.1603
Tm 3.3155 8.6112 3.6611
Tm 3.3755 2.5062 6.0832
Tm 4.7174 4.1457 8.5840
Tm 4.8005 5.2790 1.9412
Tm 6.5026 5.0047 5.5874
Tm 6.7264 7.5303 3.3429
Tm 5.8389 2.3631 3.7642
```

---

*B*
# TbPr7Tm12

A geometry-optimized TbPr7Tm12 structure (PBE-GGA, the Alexandria database).

Cell and atoms, written as extended XYZ:
```
20
Lattice="-9.7296 -0.4094 -0.0457 3.6175 -8.9212 1.4700 2.9663 5.9225 7.1386" Properties=species:S:1:pos:R:3 pbc="T T T"
Tb 0.0000 0.0000 0.0000
Pr -3.0561 -4.6653 0.7121
Pr 3.2919 -1.4994 4.3043
Pr -3.3816 2.7565 3.5465
Pr -1.5729 -1.7040 4.2814
Pr 1.4831 2.9612 3.5693
Pr -4.8648 -0.2047 -0.0228
Pr 1.8087 -4.4606 0.7350
Tm 0.0252 -2.4655 6.4661
Tm -6.2704 -5.6740 2.8190
Tm -3.1710 -0.9426 2.0968
Tm 3.1246 2.2660 5.7439
Tm -6.6026 1.1481 1.7254
Tm -3.2641 -0.3725 6.0907
Tm 3.4568 -4.5562 6.8375
Tm 0.1182 -3.0356 2.4722
Tm -3.0994 -4.0288 4.6960
Tm -0.0464 0.6207 3.8669
Tm -3.4760 3.4163 7.4636
Tm 0.3302 -6.8244 1.0992
```

---

Stability check: which of them is least stable? *B*.

---

*A*
# Tb2PrTm4

A geometry-optimized Tb2PrTm4 structure (PBE-GGA, the Alexandria database).

Cell and atoms, written as extended XYZ:
```
14
Lattice="-3.7096 -1.3765 7.4842 -6.7575 -4.8529 -5.2025 9.3042 -0.1664 3.1381" Properties=species:S:1:pos:R:3 pbc="T T T"
Tb 2.8250 -2.2959 6.2650
Tb -7.0666 -4.7423 0.0986
Tb -3.0042 -1.7765 3.8979
Tb 4.2809 -2.7060 1.0984
Pr 1.5936 -4.6072 -0.2758
Pr -1.5463 -2.1979 -1.3125
Tm -2.2616 -2.1681 7.2823
Tm -3.8926 -3.7939 1.0227
Tm -0.1650 -3.6201 5.1930
Tm -2.8841 -5.2397 3.8942
Tm 1.8811 -1.2565 3.1453
Tm 5.1104 -0.6829 4.0121
Tm -0.6210 -3.2581 1.8715
Tm -6.2796 -5.4734 3.3479
```

---

*B*
# Tb2PrTm4

A geometry-optimized Tb2PrTm4 structure (PBE-GGA, the Alexandria database).

Cell and atoms, written as extended XYZ:
```
7
Lattice="3.4885 -0.2532 0.3206 -2.6069 8.3210 -3.4852 0.9100 -1.2405 8.3194" Properties=species:S:1:pos:R:3 pbc="T T T"
Tb 0.2631 3.3096 -0.2204
Tb 1.5286 3.5176 5.3751
Pr 0.0000 0.0000 0.0000
Tm 0.1293 5.0371 2.5563
Tm 3.0422 0.2762 5.6035
Tm 1.6624 1.7901 2.5984
Tm -1.2505 6.5510 -0.4487
```

---

Stability check: which of them is least stable? *A*.

---

*A*
# Tb2Pr2Tm5

A geometry-optimized Tb2Pr2Tm5 structure (PBE-GGA, the Alexandria database).

Cell and atoms, written as extended XYZ:
```
9
Lattice="-3.4399 0.0368 0.5073 0.8501 -5.3546 6.1523 2.1596 12.1587 1.8445" Properties=species:S:1:pos:R:3 pbc="T T T"
Tb -1.0519 -2.8041 4.9876
Tb 0.6218 9.6450 3.5165
Pr -0.7796 3.5978 6.3699
Pr 0.3494 3.2430 2.1342
Tm -0.8285 0.1022 6.2916
Tm 0.3984 6.7387 2.2124
Tm -0.9067 6.9689 5.2634
Tm 0.4766 -0.1280 3.2407
Tm 0.0000 0.0000 0.0000
```

---

*B*
# Tb2Pr2Tm5

A geometry-optimized Tb2Pr2Tm5 structure (PBE-GGA, the Alexandria database).

Cell and atoms, written as extended XYZ:
```
18
Lattice="-7.3126 -6.9938 5.9623 5.2058 -3.7565 1.9784 1.8632 9.6798 2.0722" Properties=species:S:1:pos:R:3 pbc="T T T"
Tb 0.0351 -0.0253 0.0133
Tb -1.0183 -5.4004 3.9837
Tb 0.8817 1.6537 3.3126
Tb 0.0125 -3.5452 7.1328
Pr 3.1528 -0.9656 2.6069
Pr -2.7885 -0.5435 7.6371
Pr -3.1869 -2.6612 4.6644
Pr 3.5512 1.1521 5.5795
Tm 3.5646 4.7468 4.3710
Tm -1.6456 -7.3777 6.4638
Tm 1.0975 6.7549 3.2710
Tm -4.3843 -5.6293 5.5853
Tm -2.0704 -0.0012 2.9043
Tm 0.6668 -0.2322 6.6678
Tm 0.3184 -2.0843 4.0681
Tm -1.7219 1.8508 5.5040
Tm 4.3619 2.3497 2.3504
Tm -5.5359 -2.7488 7.3090
```

---

Stability check: which of them is least stable? *A*.

---

*A*
# TbPrTm

A geometry-optimized TbPrTm structure (PBE-GGA, the Alexandria database).

Cell and atoms, written as extended XYZ:
```
3
Lattice="-2.6604 0.4696 2.3725 -2.4176 -0.4208 -2.6278 2.4004 -7.5034 1.4528" Properties=species:S:1:pos:R:3 pbc="T T T"
Pr -0.0002 -0.0132 0.0023
Tm -2.5858 -2.4988 0.3194
Tb -0.0916 -4.9426 0.8757
```

---

*B*
# TbPrTm

A geometry-optimized TbPrTm structure (PBE-GGA, the Alexandria database).

Cell and atoms, written as extended XYZ:
```
6
Lattice="-2.1144 -1.0607 2.5103 5.9651 -4.8019 2.9955 2.4969 6.2386 4.7391" Properties=species:S:1:pos:R:3 pbc="T T T"
Tm 0.0000 0.0000 0.0000
Tm 3.1738 0.1880 5.1224
Tb 6.2472 1.0607 5.7101
Tb 2.2149 0.3760 2.0245
Pr 2.2716 3.0600 5.5760
Pr 4.0760 -2.6840 4.6688
```

---

Stability check: which of them is least stable? *B*.

---

*A*
# TbPrTm

A geometry-optimized TbPrTm structure (PBE-GGA, the Alexandria database).

Cell and atoms, written as extended XYZ:
```
6
Lattice="-0.5182 0.3500 -3.4787 -5.2066 -1.4808 0.6265 -2.3568 9.6041 3.1146" Properties=species:S:1:pos:R:3 pbc="T T T"
Tb -2.1534 2.4182 -0.3307
Tb -5.9283 6.0551 0.5930
Pr -3.5581 8.4612 2.2785
Pr -4.5235 0.0121 -2.0161
Tm -2.6928 5.2250 1.8205
Tm -5.3888 3.2483 -1.5581
```

---

*B*
# TbPrTm

A geometry-optimized TbPrTm structure (PBE-GGA, the Alexandria database).

Cell and atoms, written as extended XYZ:
```
3
Lattice="3.4950 0.0000 0.0000 0.0000 5.6889 0.0000 0.0000 -2.8445 4.9267" Properties=species:S:1:pos:R:3 pbc="T T T"
Pr 2.3301 2.8445 1.6422
Tm 0.5788 0.0000 3.2845
Tb 0.5860 0.0000 0.0000
```

---

Stability check: which of them is least stable? *B*.

---

*A*
# Tb5Pr4Tm2

A geometry-optimized Tb5Pr4Tm2 structure (PBE-GGA, the Alexandria database).

Cell and atoms, written as extended XYZ:
```
11
Lattice="-2.9352 1.6321 1.0231 -5.1328 -6.7417 -3.9712 4.1800 -3.3760 11.3540" Properties=species:S:1:pos:R:3 pbc="T T T"
Tb 0.1609 -1.3221 8.5945
Tb -2.8922 -5.3322 6.2324
Tb -0.9958 -3.1535 2.1735
Tb -4.0490 -7.1637 -0.1887
Tb -1.4676 0.8160 0.5115
Pr -1.5031 -1.9743 -1.1629
Pr -4.0059 -3.6982 0.4307
Pr -3.6297 -4.7675 -2.8083
Pr 0.1178 -4.7875 7.9752
Tm 0.0788 -3.2022 5.3343
Tm -3.9669 -5.2836 3.0716
```

---

*B*
# Tb5Pr4Tm2

A geometry-optimized Tb5Pr4Tm2 structure (PBE-GGA, the Alexandria database).

Cell and atoms, written as extended XYZ:
```
11
Lattice="-1.2754 -0.7939 -5.4855 -5.9165 -2.5720 1.7478 -3.1548 9.2373 2.3450" Properties=species:S:1:pos:R:3 pbc="T T T"
Tb -6.3812 3.2184 -1.9306
Tb -3.9654 2.6530 0.5380
Tb -4.0923 5.8539 -2.8442
Tb -0.6377 -0.3970 -2.7427
Tb -6.2544 0.0175 1.4516
Pr -7.8443 3.0306 1.3852
Pr -8.4945 6.2772 -1.8819
Pr -2.5023 2.8408 -2.7778
Pr -1.8521 -0.4058 0.4893
Tm -5.6982 5.9760 0.4599
Tm -4.6485 -0.1046 -1.8525
```

---

Stability check: which of them is least stable? *A*.

---

*A*
# Tb6PrTm12

A geometry-optimized Tb6PrTm12 structure (PBE-GGA, the Alexandria database).

Cell and atoms, written as extended XYZ:
```
19
Lattice="-2.8074 6.1839 -5.0496 -1.8602 -5.5382 -6.1229 -7.8961 -0.9043 2.9078" Properties=species:S:1:pos:R:3 pbc="T T T"
Tb -6.3133 -0.7301 -8.4213
Tb -3.0767 2.7198 -4.7384
Tb -3.5209 -3.4557 -3.8700
Tb -6.2505 0.4716 0.1566
Tb -9.4870 -2.9783 -3.5263
Tb -9.0428 3.1972 -4.3947
Pr 0.0000 0.0000 0.0000
Tm -6.6307 1.3358 -5.9642
Tm -6.9778 -2.0538 -5.3305
Tm -8.4267 0.2646 -3.2004
Tm -5.9331 -1.5943 -2.3005
Tm -5.5860 1.7953 -2.9342
Tm -4.1371 -0.5231 -5.0643
Tm -3.1966 -1.4990 -0.3619
Tm -11.2428 0.3260 -5.0228
Tm -9.8269 -2.1927 -7.0964
Tm -9.3671 1.2405 -7.9027
Tm -1.3210 -0.5845 -3.2419
Tm -2.7368 1.9342 -1.1683
```

---

*B*
# Tb6PrTm12

A geometry-optimized Tb6PrTm12 structure (PBE-GGA, the Alexandria database).

Cell and atoms, written as extended XYZ:
```
19
Lattice="-6.4416 2.7670 -5.9052 8.0871 2.0842 -3.7783 -0.4733 -9.1493 0.2962" Properties=species:S:1:pos:R:3 pbc="T T T"
Tb -2.4250 -3.7923 -4.9533
Tb 0.9963 0.6973 -6.5817
Tb 3.3816 -4.0652 -4.1033
Tb 0.1760 -4.9954 -2.8056
Tb 3.5972 -0.5058 -4.4340
Tb -2.2093 -0.2329 -5.2840
Pr 0.0000 0.0000 0.0000
Tm -5.0482 -1.8843 -5.5185
Tm -1.4921 -1.9628 -2.3355
Tm 0.5130 0.6685 -3.2899
Tm -0.7388 -2.1754 -7.5500
Tm 0.6592 -4.9667 -6.0974
Tm 2.6644 -2.3354 -7.0518
Tm 3.9059 2.2073 -6.2737
Tm 2.9006 -6.7702 -2.2887
Tm 6.2204 -2.4138 -3.8688
Tm -2.7337 -6.5055 -3.1135
Tm -1.7284 2.4721 -7.0985
Tm 1.9110 -2.1227 -1.8373
```

---

Stability check: which of them is least stable? *B*.

---

*A*
# Tb4Pr2Tm5

A geometry-optimized Tb4Pr2Tm5 structure (PBE-GGA, the Alexandria database).

Cell and atoms, written as extended XYZ:
```
11
Lattice="3.4890 0.0000 0.0000 0.0000 11.4803 0.0000 -1.7445 -5.7402 9.1523" Properties=species:S:1:pos:R:3 pbc="T T T"
Tb 0.0000 3.1258 0.0000
Tb 1.7445 5.7402 1.6592
Tb 0.0000 8.3546 0.0000
Tb 0.0000 0.0000 7.4931
Pr 0.0000 0.0000 3.7012
Pr 1.7445 5.7402 5.4512
Tm 1.7445 -2.3934 5.8713
Tm 1.7445 2.3934 5.8713
Tm 0.0000 3.3468 3.2810
Tm 0.0000 8.1335 3.2810
Tm 1.7445 0.0000 0.0000
```

---

*B*
# Tb4Pr2Tm5

A geometry-optimized Tb4Pr2Tm5 structure (PBE-GGA, the Alexandria database).

Cell and atoms, written as extended XYZ:
```
11
Lattice="3.5125 0.0105 -0.5444 -0.3282 8.4764 -1.9676 0.0265 -0.2316 11.7915" Properties=species:S:1:pos:R:3 pbc="T T T"
Tb 2.2565 3.7688 3.0375
Tb 0.0480 3.0263 0.3660
Tb 0.9543 4.4865 6.2420
Tb 3.1628 5.2290 8.9135
Pr 1.3652 2.0982 8.8719
Pr 1.8456 6.1571 0.4076
Tm 0.4585 0.7252 2.9715
Tm 2.7523 7.5301 6.3080
Tm 0.5467 6.8504 3.6572
Tm 1.7563 0.0052 -0.2722
Tm 2.6641 1.4049 5.6223
```

---

Stability check: which of them is least stable? *A*.

---

*A*
# Tb2Pr2Tm

A geometry-optimized Tb2Pr2Tm structure (PBE-GGA, the Alexandria database).

Cell and atoms, written as extended XYZ:
```
10
Lattice="-5.0113 3.2258 1.9960 -1.3629 -4.9690 4.6089 5.3149 6.2937 3.1727" Properties=species:S:1:pos:R:3 pbc="T T T"
Tb -2.5157 2.5211 4.4530
Tb 2.1677 4.6227 2.9192
Tb 1.4564 2.0295 5.3245
Tb -3.2270 -0.0722 6.8583
Pr -0.0291 5.4854 5.9054
Pr -1.3816 2.4491 7.4166
Pr -1.0303 -0.9348 3.8721
Pr 0.3223 2.1014 2.3609
Tm 0.0000 0.0000 0.0000
Tm -2.5057 1.6129 0.9980
```

---

*B*
# Tb2Pr2Tm

A geometry-optimized Tb2Pr2Tm structure (PBE-GGA, the Alexandria database).

Cell and atoms, written as extended XYZ:
```
5
Lattice="3.4902 -0.0039 0.9245 1.7525 3.1242 0.4359 -2.0135 -2.9881 14.6908" Properties=species:S:1:pos:R:3 pbc="T T T"
Tb 0.8874 -1.9917 10.7758
Tb 2.3418 2.1239 5.2754
Pr 1.3517 1.0564 1.9545
Pr 1.8775 -0.9242 14.0967
Tm 1.6146 0.0661 8.0256
```

---

Stability check: which of them is least stable? *A*.

---

*A*
# Tb2Pr5Tm3

A geometry-optimized Tb2Pr5Tm3 structure (PBE-GGA, the Alexandria database).

Cell and atoms, written as extended XYZ:
```
20
Lattice="9.4852 -2.1160 -2.6389 -3.3682 9.0560 -2.8558 -0.6198 -0.5397 9.1634" Properties=species:S:1:pos:R:3 pbc="T T T"
Tb 8.6756 -2.1663 4.2828
Tb -3.1784 8.5666 -0.6142
Tb -0.2300 5.5578 4.1400
Tb 5.7272 0.8425 -0.4714
Pr -0.0333 3.3382 6.8106
Pr 5.5305 3.0621 -3.1419
Pr 6.5532 4.2909 -0.4514
Pr 3.4887 0.8137 2.2801
Pr -1.0560 2.1094 4.1200
Pr 2.0085 5.5867 1.3886
Pr 5.7373 3.4637 2.8440
Pr -0.2401 2.9367 0.8246
Pr 2.7171 -0.0616 5.6020
Pr 2.7801 6.4619 -1.9334
Tm 2.4834 -0.3943 -0.3648
Tm 3.0138 6.7947 4.0335
Tm 3.2682 2.9968 -0.4583
Tm 2.2290 3.4035 4.1269
Tm -0.6843 6.4544 -0.5351
Tm 6.1815 -0.0541 4.2037
```

---

*B*
# Tb2Pr5Tm3

A geometry-optimized Tb2Pr5Tm3 structure (PBE-GGA, the Alexandria database).

Cell and atoms, written as extended XYZ:
```
20
Lattice="11.0153 0.0000 0.0000 5.5077 8.3135 0.3875 5.5077 2.5798 7.9126" Properties=species:S:1:pos:R:3 pbc="T T T"
Tb 11.0153 9.1002 7.9933
Tb 11.0153 1.7930 0.3068
Tb 16.5230 10.1216 6.6528
Tb 5.5077 0.7716 1.6473
Pr 8.2615 5.4466 4.1500
Pr 13.7692 5.4466 4.1500
Pr 13.7692 8.2185 6.2620
Pr 2.7538 2.6748 2.0380
Pr 8.2615 2.6748 2.0380
Pr 19.2768 8.2185 6.2620
Pr 5.5077 4.6350 2.2992
Pr 16.5230 6.2583 6.0009
Pr 11.0153 3.4468 3.8587
Pr 11.0153 7.4465 4.4414
Tm 2.7538 0.0000 0.0000
Tm 8.2615 0.0000 0.0000
Tm 11.0153 5.3627 7.0532
Tm 11.0153 5.5306 1.2469
Tm 16.5230 8.2234 3.2987
Tm 5.5077 2.6699 5.0014
```

---

Stability check: which of them is least stable? *B*.